First-principles (PBE) data for a relaxed Tb2Pm2NdMg2 crystal, as listed in Alexandria via LeMat-Bulk.

D(E_F)   1.06 states/eV/atom
Energy   -26.92 eV per formula unit
ΔH_f (0 K)   -0.029 eV per atom

a b c (Å): 5.5421 5.5421 8.7416
angles (deg): 71.52 71.52 60.00
Sites, in units of the cell vectors:
Pm 0.1569 0.1569 0.5292
Tb 0.4275 0.4275 0.7175
Nd 0.0000 0.0000 0.0000
Mg 0.2903 0.2903 0.1290
Pm 0.8431 0.8431 0.4708
Mg 0.7097 0.7097 0.8710
Tb 0.5725 0.5725 0.2825